First-principles (GGA-PBE) data for crystalline K2Tl6CdAg at its relaxed geometry, as listed in Alexandria via LeMat-Bulk.

Summary:
crystal system = trigonal
formation energy = 0.33 eV/f.u.
total moment = 0.0 μB/f.u.

Lattice parameters (Å, degrees): 7.823 7.823 14.044 73.83 73.83 60.00
Fractional coordinates of all 20 atoms:
K 0.862 0.862 0.415
K 0.138 0.138 0.585
K 0.690 0.690 0.930
K 0.310 0.310 0.070
Tl 0.930 0.358 0.355
Tl 0.358 0.930 0.355
Tl 0.358 0.358 0.355
Tl 0.070 0.642 0.645
Tl 0.642 0.070 0.645
Tl 0.642 0.642 0.645
Tl 0.776 0.199 0.826
Tl 0.199 0.776 0.826
Tl 0.199 0.199 0.826
Tl 0.224 0.801 0.174
Tl 0.801 0.224 0.174
Tl 0.801 0.801 0.174
Cd 0.000 0.000 0.000
Cd 0.500 0.500 0.500
Ag 0.583 0.583 0.251
Ag 0.417 0.417 0.749

=====

First-principles (GGA-PBE) data for crystalline Ac5Sn2Bi2 at its relaxed geometry, as listed in Alexandria via LeMat-Bulk.

Summary:
crystal system = orthorhombic
formation energy = -7.26 eV/f.u.
total moment = 0.0 μB/f.u.

Lattice parameters (Å, degrees): 9.031 8.969 9.636 117.74 90.00 90.00
Fractional coordinates of all 18 atoms:
Ac 0.000 0.000 0.000
Ac 0.500 0.500 0.000
Ac 0.833 0.803 0.267
Ac 0.167 0.464 0.267
Ac 0.333 0.964 0.267
Ac 0.667 0.303 0.267
Ac 0.167 0.197 0.733
Ac 0.833 0.536 0.733
Ac 0.667 0.036 0.733
Ac 0.333 0.697 0.733
Sn 0.631 0.869 0.000
Sn 0.369 0.131 0.000
Sn 0.131 0.631 0.000
Sn 0.869 0.369 0.000
Bi 0.000 0.204 0.408
Bi 0.500 0.704 0.408
Bi 0.000 0.796 0.592
Bi 0.500 0.296 0.592

=====

First-principles (GGA-PBE) data for crystalline AcSmTlPb at its relaxed geometry, as listed in Alexandria via LeMat-Bulk.

Summary:
crystal system = orthorhombic
formation energy = -1.71 eV/f.u.
total moment = 0.0 μB/f.u.

Lattice parameters (Å, degrees): 4.843 4.580 6.607 90.00 111.50 90.00
Fractional coordinates of all 4 atoms:
Ac 0.863 0.500 0.725
Sm 0.134 0.000 0.268
Tl 0.414 0.000 0.828
Pb 0.590 0.500 0.179

=====

First-principles (GGA-PBE) data for crystalline ZrAlV4 at its relaxed geometry, as listed in Alexandria via LeMat-Bulk.

Summary:
crystal system = cubic
formation energy = -0.03 eV/f.u.
total moment = 0.0 μB/f.u.

Lattice parameters (Å, degrees): 5.103 5.103 5.103 60.00 60.00 60.00
Fractional coordinates of all 6 atoms:
Al 0.000 0.000 0.000
Zr 0.250 0.250 0.250
V 0.623 0.623 0.132
V 0.623 0.132 0.623
V 0.623 0.623 0.623
V 0.132 0.623 0.623

=====

First-principles (GGA-PBE) data for crystalline Hf3BeTl at its relaxed geometry, as listed in Alexandria via LeMat-Bulk.

Summary:
crystal system = cubic
formation energy = 0.84 eV/f.u.
total moment = 0.0 μB/f.u.

Lattice parameters (Å, degrees): 4.707 4.707 4.707 90.00 90.00 90.00
Fractional coordinates of all 5 atoms:
Be 0.000 0.000 0.000
Tl 0.500 0.500 0.500
Hf 0.000 0.500 0.000
Hf 0.000 0.000 0.500
Hf 0.500 0.000 0.000

=====

First-principles (GGA-PBE) data for crystalline TbPaTi2 at its relaxed geometry, as listed in Alexandria via LeMat-Bulk.

Summary:
crystal system = tetragonal
formation energy = 0.45 eV/f.u.
total moment = 0.0 μB/f.u.

Lattice parameters (Å, degrees): 3.637 3.637 6.928 90.00 90.00 90.00
Fractional coordinates of all 4 atoms:
Pa 0.500 0.500 0.000
Tb 0.500 0.500 0.500
Ti 0.000 0.000 0.802
Ti 0.000 0.000 0.198

=====

First-principles (GGA-PBE) data for crystalline CaCo2Ag at its relaxed geometry, as listed in Alexandria via LeMat-Bulk.

Summary:
crystal system = monoclinic
formation energy = 1.14 eV/f.u.
total moment = 2.8 μB/f.u.

Lattice parameters (Å, degrees): 4.760 4.760 5.123 68.64 68.64 47.62
Last column: magnetic moment on the atom in μB.
Fractional coordinates of all 4 atoms:
Ca 0.750 0.750 0.750  -0.07
Co 0.974 0.974 0.160  1.51
Co 0.526 0.526 0.340  1.51
Ag 0.250 0.250 0.250  0.00

=====

First-principles (GGA-PBE) data for crystalline Rb2NpReN4 at its relaxed geometry, as listed in Alexandria via LeMat-Bulk.

Summary:
E_form (uncorrected) = -364 meV/atom
crystal system = orthorhombic
total moment = 4.0 μB/f.u.

Lattice parameters (Å, degrees): 6.479 7.260 7.271 90.00 90.00 90.00
Last column: magnetic moment on the atom in μB.
Fractional coordinates of all 16 atoms:
Rb 0.500 0.292 0.249  0.02
Rb 0.500 0.292 0.751  0.02
Rb 0.000 0.708 0.749  0.02
Rb 0.000 0.708 0.251  0.02
Np 0.000 0.170 0.500  3.59
Np 0.500 0.830 0.000  3.59
Re 0.500 0.839 0.500  0.19
Re 0.000 0.161 0.000  0.19
N 0.231 0.012 0.000  -0.05
N 0.731 0.988 0.500  -0.05
N 0.269 0.988 0.500  -0.05
N 0.769 0.012 0.000  -0.05
N 0.500 0.700 0.714  -0.05
N 0.000 0.300 0.214  -0.05
N 0.000 0.300 0.786  -0.05
N 0.500 0.700 0.286  -0.05